Density functional theory data (PBE-GGA) for an optimized crystal structure of CsW2Se2.

Values from the calculation:
- Symmetry: No. 139
- Uncorrected formation energy: 386 meV/atom

Structure (POSCAR):
```
CsW2Se2
1.0
-1.680 -2.613 -3.994
4.408 0.773 -2.360
2.998 -4.729 -1.373
Cs W Se
1 2 2
direct
0.000 0.000 0.000
0.373 0.373 0.254
0.627 0.627 0.746
0.250 0.750 0.500
0.750 0.250 0.500
```

Density functional theory data (PBE-GGA) for an optimized crystal structure of CsWSe2.

Values from the calculation:
- Symmetry: No. 122
- Uncorrected formation energy: -240 meV/atom

Structure (POSCAR):
```
CsWSe2
1.0
7.767 0.000 0.000
0.000 7.767 0.000
3.884 3.884 4.666
Se W Cs
4 2 2
direct
0.875 0.017 0.750
0.983 0.625 0.250
0.767 0.125 0.250
0.375 0.233 0.750
0.000 0.000 0.000
0.750 0.250 0.500
0.500 0.500 0.000
0.250 0.750 0.500
```

Density functional theory data (PBE-GGA) for an optimized crystal structure of CsW3Se.

Values from the calculation:
- Symmetry: No. 221
- Uncorrected formation energy: 2286 meV/atom

Structure (POSCAR):
```
CsW3Se
1.0
-3.359 1.080 3.305
-1.284 -4.656 0.217
3.232 -0.727 3.522
W Cs Se
3 1 1
direct
0.000 0.500 0.000
0.500 0.000 0.000
0.000 0.000 0.500
0.500 0.500 0.500
0.000 0.000 0.000
```

Density functional theory data (PBE-GGA) for an optimized crystal structure of CsW4Se7.

Values from the calculation:
- Symmetry: No. 31
- Uncorrected formation energy: -78 meV/atom

Structure (POSCAR):
```
CsW4Se7
1.0
6.734 0.000 0.000
0.000 6.358 0.000
0.000 0.000 14.504
Se Cs W
14 2 8
direct
0.990 0.524 0.617
0.490 0.476 0.883
0.996 0.688 0.112
0.360 0.832 0.273
0.360 0.832 0.727
0.860 0.168 0.773
0.996 0.688 0.888
0.602 0.963 0.000
0.102 0.037 0.500
0.496 0.312 0.388
0.860 0.168 0.227
0.990 0.524 0.383
0.490 0.476 0.117
0.496 0.312 0.612
0.590 0.816 0.500
0.090 0.184 0.000
0.152 0.169 0.664
0.483 0.200 0.769
0.983 0.800 0.269
0.152 0.169 0.336
0.652 0.831 0.836
0.983 0.800 0.731
0.483 0.200 0.231
0.652 0.831 0.164
```